The following is a PBE calculation of an optimized crystal structure of Mn2CoW, from Alexandria via LeMat-Bulk.

raw total energy = -9.45 eV/atom
symmetry = P2/m, No. 10
magnetic moment = 1.2420 μB/atom
energy above the most stable polymorph in this dataset = 0.51 eV per formula unit
DFT formation energy = 0.15 eV/atom

The structure in POSCAR format:
```
Mn2CoW
1.0
2.5972 0.0000 0.0000
0.0000 4.0857 0.0000
-0.7544 0.0000 4.7910
Mn Co W
2 1 1
Cartesian
0.4438 0.0000 1.2480
1.3990 0.0000 3.5430
-0.3772 2.0429 2.3955
1.2986 2.0429 0.0000
```

***

The following is a PBE calculation of an optimized crystal structure of Mn2CoW, from Alexandria via LeMat-Bulk.

raw total energy = -9.47 eV/atom
symmetry = Immm, No. 71
magnetic moment = 1.3298 μB/atom
energy above the most stable polymorph in this dataset = 0.41 eV per formula unit
DFT formation energy = 0.13 eV/atom

The structure in POSCAR format:
```
Mn2CoW
1.0
3.1083 0.0000 0.0000
0.0000 4.1089 0.0000
0.0000 0.0000 7.9650
Mn Co W
4 2 2
Cartesian
0.0000 0.0000 1.9675
0.0000 0.0000 5.9975
1.5542 2.0544 2.0150
1.5542 2.0544 5.9500
0.0000 2.0544 3.9825
1.5542 0.0000 0.0000
0.0000 2.0544 0.0000
1.5542 0.0000 3.9825
```

***

The following is a PBE calculation of an optimized crystal structure of MnCo2W, from Alexandria via LeMat-Bulk.

raw total energy = -8.89 eV/atom
symmetry = C2/m, No. 12
magnetic moment = 1.1836 μB/atom
energy above the most stable polymorph in this dataset = 0.88 eV per formula unit
DFT formation energy = 0.19 eV/atom

The structure in POSCAR format:
```
MnCo2W
1.0
5.0597 0.0000 0.0000
0.0000 8.1641 0.0000
-0.8732 0.0000 2.4486
Mn Co W
2 4 2
Cartesian
0.0000 0.0000 0.0000
2.5298 4.0820 0.0000
0.8283 2.0410 1.2243
0.8283 6.1230 1.2243
3.3581 2.0410 1.2243
3.3581 6.1230 1.2243
0.0000 4.0820 0.0000
2.5298 0.0000 0.0000
```

***

The following is a PBE calculation of an optimized crystal structure of MnCo2W, from Alexandria via LeMat-Bulk.

raw total energy = -9.00 eV/atom
symmetry = Cmmm, No. 65
magnetic moment = 0.3622 μB/atom
energy above the most stable polymorph in this dataset = 0.45 eV per formula unit
DFT formation energy = 0.09 eV/atom

The structure in POSCAR format:
```
MnCo2W
1.0
5.1264 0.0000 0.0000
0.0000 7.2360 0.0000
0.0000 0.0000 2.6147
Mn Co W
2 4 2
Cartesian
0.0000 0.0000 0.0000
2.5632 3.6180 0.0000
1.2816 1.8090 1.3074
1.2816 5.4270 1.3074
3.8448 1.8090 1.3074
3.8448 5.4270 1.3074
0.0000 3.6180 0.0000
2.5632 0.0000 0.0000
```

***

The following is a PBE calculation of an optimized crystal structure of MnCoW, from Alexandria via LeMat-Bulk.

raw total energy = -9.45 eV/atom
symmetry = P3m1, No. 156
magnetic moment = 1.2822 μB/atom
energy above the most stable polymorph in this dataset = 0.95 eV per formula unit
DFT formation energy = 0.30 eV/atom

The structure in POSCAR format:
```
MnCoW
1.0
2.7397 0.0000 0.0000
-1.3698 2.3726 0.0000
0.0000 0.0000 6.2681
Mn Co W
1 1 1
Cartesian
0.0000 0.0000 0.0000
1.3698 0.7909 4.3347
0.0000 1.5817 2.2204
```

***

The following is a PBE calculation of an optimized crystal structure of MnCo2W, from Alexandria via LeMat-Bulk.

raw total energy = -9.08 eV/atom
symmetry = I4/mmm, No. 139
magnetic moment = 0.2729 μB/atom
energy above the most stable polymorph in this dataset = 0.12 eV per formula unit
DFT formation energy = 0.00 eV/atom

The structure in POSCAR format:
```
MnCo2W
1.0
3.6145 0.0000 0.0000
0.0000 3.6145 0.0000
0.0000 0.0000 7.2816
Mn Co W
2 4 2
Cartesian
0.0000 0.0000 0.0000
1.8072 1.8072 3.6408
0.0000 1.8072 1.8204
0.0000 1.8072 5.4612
1.8072 0.0000 1.8204
1.8072 0.0000 5.4612
0.0000 0.0000 3.6408
1.8072 1.8072 0.0000
```

***

The following is a PBE calculation of an optimized crystal structure of MnCoW, from Alexandria via LeMat-Bulk.

raw total energy = -9.65 eV/atom
symmetry = Ima2, No. 46
magnetic moment = 0.5908 μB/atom
energy above the most stable polymorph in this dataset = 0.33 eV per formula unit
DFT formation energy = 0.09 eV/atom

The structure in POSCAR format:
```
MnCoW
1.0
4.6868 0.0000 0.0000
0.0000 5.7749 0.0000
0.0000 0.0000 5.7411
Mn Co W
4 4 4
Cartesian
1.1717 0.9051 0.0000
1.1717 1.9824 2.8705
3.5151 3.7925 2.8705
3.5151 4.8698 0.0000
0.0000 0.0000 1.9619
0.0000 2.8874 4.8325
2.3434 0.0000 1.9619
2.3434 2.8874 4.8325
1.1717 3.7502 1.1236
1.1717 4.9121 3.9942
3.5151 0.8628 3.9942
3.5151 2.0247 1.1236
```

***

The following is a PBE calculation of an optimized crystal structure of Mn2CoW, from Alexandria via LeMat-Bulk.

raw total energy = -9.54 eV/atom
symmetry = P4/mmm, No. 123
magnetic moment = 0.5988 μB/atom
energy above the most stable polymorph in this dataset = 0.13 eV per formula unit
DFT formation energy = 0.06 eV/atom

The structure in POSCAR format:
```
Mn2CoW
1.0
3.6640 0.0000 0.0000
0.0000 3.6640 0.0000
0.0000 0.0000 3.6286
Mn Co W
2 1 1
Cartesian
0.0000 1.8320 0.0000
1.8320 0.0000 0.0000
0.0000 0.0000 1.8143
1.8320 1.8320 1.8143
```

***

The following is a PBE calculation of an optimized crystal structure of Mn2CoW, from Alexandria via LeMat-Bulk.

raw total energy = -9.44 eV/atom
symmetry = Pm, No. 6
magnetic moment = 1.2920 μB/atom
energy above the most stable polymorph in this dataset = 0.53 eV per formula unit
DFT formation energy = 0.16 eV/atom

The structure in POSCAR format:
```
Mn2CoW
1.0
2.6099 0.0000 0.0000
0.0000 4.0748 0.0000
-1.0489 0.0000 4.7995
Mn Co W
2 1 1
Cartesian
0.0000 0.0000 0.0000
-0.0873 2.0374 3.6408
0.7544 0.0000 2.5041
1.7182 2.0374 1.2471
```

***

The following is a PBE calculation of an optimized crystal structure of MnCoW, from Alexandria via LeMat-Bulk.

raw total energy = -9.02 eV/atom
symmetry = F-43m, No. 216
magnetic moment = 0.6779 μB/atom
energy above the most stable polymorph in this dataset = 2.22 eV per formula unit
DFT formation energy = 0.72 eV/atom

The structure in POSCAR format:
```
MnCoW
1.0
5.6033 0.0000 0.0000
0.0000 5.6033 0.0000
0.0000 0.0000 5.6033
Mn Co W
4 4 4
Cartesian
0.0000 0.0000 0.0000
0.0000 2.8017 2.8017
2.8017 0.0000 2.8017
2.8017 2.8017 0.0000
1.4008 1.4008 1.4008
1.4008 4.2025 4.2025
4.2025 1.4008 4.2025
4.2025 4.2025 1.4008
1.4008 1.4008 4.2025
1.4008 4.2025 1.4008
4.2025 1.4008 1.4008
4.2025 4.2025 4.2025
```

***

The following is a PBE calculation of an optimized crystal structure of Mn2CoW, from Alexandria via LeMat-Bulk.

raw total energy = -9.30 eV/atom
symmetry = R-3m, No. 166
magnetic moment = 1.5843 μB/atom
energy above the most stable polymorph in this dataset = 1.10 eV per formula unit
DFT formation energy = 0.30 eV/atom

The structure in POSCAR format:
```
Mn2CoW
1.0
2.7130 0.0000 0.0000
-1.3565 2.3495 0.0000
0.0000 0.0000 24.9832
Mn Co W
6 3 3
Cartesian
0.0000 0.0000 6.1094
0.0000 0.0000 18.8738
0.0000 1.5663 10.5461
0.0000 1.5663 22.7648
1.3565 0.7832 2.2184
1.3565 0.7832 14.4371
0.0000 0.0000 12.4916
0.0000 1.5663 4.1639
1.3565 0.7832 20.8193
0.0000 0.0000 0.0000
0.0000 1.5663 16.6555
1.3565 0.7832 8.3277
```

***

The following is a PBE calculation of an optimized crystal structure of Mn2CoW, from Alexandria via LeMat-Bulk.

raw total energy = -9.41 eV/atom
symmetry = Pmmm, No. 47
magnetic moment = 0.1179 μB/atom
energy above the most stable polymorph in this dataset = 0.64 eV per formula unit
DFT formation energy = 0.19 eV/atom

The structure in POSCAR format:
```
Mn2CoW
1.0
2.6176 0.0000 0.0000
0.0000 3.4794 0.0000
0.0000 0.0000 5.3383
Mn Co W
2 1 1
Cartesian
0.0000 0.0000 1.1397
0.0000 0.0000 4.1986
1.3088 1.7397 0.0000
1.3088 1.7397 2.6691
```

***

The following is a PBE calculation of an optimized crystal structure of MnCoW, from Alexandria via LeMat-Bulk.

raw total energy = -9.63 eV/atom
symmetry = Imm2, No. 44
magnetic moment = 1.0245 μB/atom
energy above the most stable polymorph in this dataset = 0.39 eV per formula unit
DFT formation energy = 0.11 eV/atom

The structure in POSCAR format:
```
MnCoW
1.0
2.8278 0.0000 0.0000
0.0000 3.2935 0.0000
0.0000 0.0000 8.3588
Mn Co W
2 2 2
Cartesian
0.0000 0.0000 0.0000
1.4139 1.6468 4.1794
0.0000 0.0000 2.8620
1.4139 1.6468 7.0414
0.0000 0.0000 5.6367
1.4139 1.6468 1.4573
```

***

The following is a PBE calculation of an optimized crystal structure of MnCo2W, from Alexandria via LeMat-Bulk.

raw total energy = -9.02 eV/atom
symmetry = Fm-3m, No. 225
magnetic moment = 1.5908 μB/atom
energy above the most stable polymorph in this dataset = 0.37 eV per formula unit
DFT formation energy = 0.07 eV/atom

The structure in POSCAR format:
```
MnCo2W
1.0
5.8882 0.0000 0.0000
0.0000 5.8882 0.0000
0.0000 0.0000 5.8882
Mn Co W
4 8 4
Cartesian
0.0000 0.0000 0.0000
0.0000 2.9441 2.9441
2.9441 0.0000 2.9441
2.9441 2.9441 0.0000
1.4720 1.4720 1.4720
1.4720 1.4720 4.4161
1.4720 4.4161 1.4720
1.4720 4.4161 4.4161
4.4161 1.4720 1.4720
4.4161 1.4720 4.4161
4.4161 4.4161 1.4720
4.4161 4.4161 4.4161
0.0000 0.0000 2.9441
0.0000 2.9441 0.0000
2.9441 0.0000 0.0000
2.9441 2.9441 2.9441
```